[1]
A plane-wave DFT calculation with GGA-PBE was carried out for Cs4PuS4 after structural relaxation.

## Properties
Space group: I-42m (121)
N(E_F), states/eV/cell: 2.015
Energy relative to the elements, uncorrected, kJ/mol of formula units: -1031
Crystal system: tetragonal
E, eV per cell: -44.94

Lattice parameters (Å, degrees): 7.2686 8.7758 7.2686 65.54 90.00 114.46
Closest atoms and distances in Å follow each position.
Fractional coordinates of all 9 atoms:
Cs 0.5527 0.7119 0.8408  6 S 3.55-3.78, 1 Pu 3.73
Cs 0.1592 0.7119 0.4473  6 S 3.55-3.78, 1 Pu 3.73
Cs 0.4473 0.2881 0.5527  6 S 3.55-3.78, 1 Pu 3.73
Cs 0.8408 0.2881 0.1592  6 S 3.55-3.78, 1 Pu 3.73
S 0.6923 0.7870 0.3077  1 Pu 2.56
S 0.9053 0.2130 0.6923  1 Pu 2.56
S 0.3077 0.2130 0.0947  1 Pu 2.56
S 0.0947 0.7870 0.9053  1 Pu 2.56
Pu 0.0000 0.0000 0.0000  4 S 2.56

=====

[2]
A plane-wave DFT calculation with GGA-PBE was carried out for HfGe2S6 after structural relaxation.

## Properties
Space group: C2/c (15)
Energy relative to the elements, uncorrected, kJ/mol of formula units: -546
Crystal system: monoclinic
E, eV per cell: -99.23

Lattice parameters (Å, degrees): 6.4474 8.1956 8.1956 85.00 81.67 81.67
Closest atoms and distances in Å follow each position.
Fractional coordinates of all 18 atoms:
Ge 0.8245 0.3798 0.2281  4 S 2.23-2.29
Ge 0.6755 0.7719 0.6202  4 S 2.23-2.29
Ge 0.3245 0.2281 0.3798  4 S 2.23-2.29
Ge 0.1755 0.6202 0.7719  4 S 2.23-2.29
S 0.6456 0.6059 0.1183  1 Ge 2.23, 1 Hf 2.44
S 0.1227 0.4563 0.2904  2 Ge 2.24-2.25
S 0.1183 0.8204 0.9581  1 Ge 2.29, 1 Hf 2.55
S 0.1456 0.1183 0.6059  1 Ge 2.23, 1 Hf 2.44
S 0.8817 0.1796 0.0419  1 Ge 2.29, 1 Hf 2.55
S 0.3773 0.7096 0.5437  2 Ge 2.24-2.25
S 0.6183 0.9581 0.8204  1 Ge 2.29, 1 Hf 2.55
S 0.3817 0.0419 0.1796  1 Ge 2.29, 1 Hf 2.55
S 0.3544 0.3941 0.8817  1 Ge 2.23, 1 Hf 2.44
S 0.6227 0.2904 0.4563  2 Ge 2.24-2.25
S 0.8544 0.8817 0.3941  1 Ge 2.23, 1 Hf 2.44
S 0.8773 0.5437 0.7096  2 Ge 2.24-2.25
Hf 0.2500 0.1203 0.8797  6 S 2.44-2.71
Hf 0.7500 0.8797 0.1203  6 S 2.44-2.71

=====

[3]
A plane-wave DFT calculation with GGA-PBE was carried out for PmTm2Ga after structural relaxation.

## Properties
Space group: R-3m (166)
ΔE_f, meV per atom: -19
N(E_F), states/eV/cell: 4.467
Crystal system: trigonal
E, eV per cell: -16.80

Lattice parameters (Å, degrees): 4.9897 4.9897 5.9251 65.10 65.10 60.00
Closest atoms and distances in Å follow each position.
Fractional coordinates of all 4 atoms:
Tm 0.2743 0.2743 0.1770  3 Ga 3.02, 3 Pm 3.33
Tm 0.7257 0.7257 0.8230  3 Ga 3.02, 3 Pm 3.33
Pm 0.5000 0.5000 0.5000  8 Tm 3.33-3.51
Ga 0.0000 0.0000 0.0000  6 Tm 3.02

=====

[4]
A plane-wave DFT calculation with GGA-PBE was carried out for TbThBiTe after structural relaxation.

## Properties
Space group: F-43m (216)
N(E_F), states/eV/cell: 3.909
Energy relative to the elements, uncorrected, kJ/mol of formula units: -330
Crystal system: cubic
E, eV per cell: -22.49

Lattice parameters (Å, degrees): 5.4722 5.4722 5.4722 60.00 60.00 60.00
Closest atoms and distances in Å follow each position.
Fractional coordinates of all 4 atoms:
Bi 0.5000 0.5000 0.5000  4 Tb 3.35, 4 Th 3.35
Th 0.7500 0.7500 0.7500  4 Bi 3.35, 4 Te 3.35
Tb 0.2500 0.2500 0.2500  4 Bi 3.35, 4 Te 3.35
Te 0.0000 0.0000 0.0000  4 Tb 3.35, 4 Th 3.35

=====

[5]
A plane-wave DFT calculation with GGA-PBE was carried out for SrHoTm2Se4 after structural relaxation.

## Properties
Space group: P2/m (10)
N(E_F), states/eV/cell: 3.066
Energy relative to the elements, uncorrected, kJ/mol of formula units: -1345
Crystal system: monoclinic
E, eV per cell: -43.08

Lattice parameters (Å, degrees): 4.0931 7.1416 7.1421 70.95 90.00 90.00
Closest atoms and distances in Å follow each position.
Fractional coordinates of all 8 atoms:
Se 0.0000 0.2340 0.2634  3 Tm 2.83-2.90, 1 Ho 2.93, 2 Sr 3.00
Se 0.0000 0.7660 0.7366  3 Tm 2.83-2.90, 1 Ho 2.93, 2 Sr 3.00
Se 0.5000 0.2404 0.7458  3 Tm 2.83-2.90, 2 Ho 2.93, 1 Sr 2.99
Se 0.5000 0.7596 0.2542  3 Tm 2.83-2.90, 2 Ho 2.93, 1 Sr 2.99
Tm 0.0000 0.0000 0.0000  6 Se 2.90
Tm 0.5000 0.0000 0.5000  6 Se 2.83
Sr 0.5000 0.5000 0.0000  6 Se 2.99-3.00
Ho 0.0000 0.5000 0.5000  6 Se 2.93

=====

[6]
A plane-wave DFT calculation with GGA-PBE was carried out for Pr5Ag2Pt after structural relaxation.

## Properties
Space group: I4/mcm (140)
ΔE_f, meV per atom: -349
N(E_F), states/eV/cell: 24.722
Crystal system: tetragonal
E, eV per cell: -76.87

Lattice parameters (Å, degrees): 7.5163 7.5163 9.7873 112.58 112.58 90.00
Closest atoms and distances in Å follow each position.
Fractional coordinates of all 16 atoms:
Ag 0.8727 0.6273 0.0000  1 Ag 2.71, 2 Pr 2.96
Ag 0.6273 0.1273 0.0000  1 Ag 2.71, 2 Pr 2.96
Ag 0.1273 0.3727 0.0000  1 Ag 2.71, 2 Pr 2.96
Ag 0.3727 0.8727 0.0000  1 Ag 2.71, 2 Pr 2.96
Pr 0.1722 0.0159 0.6881  2 Pt 3.18, 3 Ag 3.34-3.43, 1 Pr 3.51
Pr 0.9841 0.4841 0.3119  2 Pt 3.18, 3 Ag 3.34-3.43, 1 Pr 3.51
Pr 0.5000 0.5000 0.0000  4 Ag 2.96
Pr 0.5159 0.6722 0.6881  2 Pt 3.18, 3 Ag 3.34-3.43, 1 Pr 3.51
Pr 0.4841 0.3278 0.3119  2 Pt 3.18, 3 Ag 3.34-3.43, 1 Pr 3.51
Pr 0.6722 0.1722 0.6881  2 Pt 3.18, 3 Ag 3.34-3.43, 1 Pr 3.51
Pr 0.8278 0.9841 0.3119  2 Pt 3.18, 3 Ag 3.34-3.43, 1 Pr 3.51
Pr 0.0159 0.5159 0.6881  2 Pt 3.18, 3 Ag 3.34-3.43, 1 Pr 3.51
Pr 0.0000 0.0000 0.0000  4 Ag 2.96
Pr 0.3278 0.8278 0.3119  2 Pt 3.18, 3 Ag 3.34-3.43, 1 Pr 3.51
Pt 0.2500 0.2500 0.5000  8 Pr 3.18
Pt 0.7500 0.7500 0.5000  8 Pr 3.18

=====

[7]
A plane-wave DFT calculation with GGA-PBE was carried out for Y2ZrIr after structural relaxation.

## Properties
Space group: C2/m (12)
ΔE_f, meV per atom: -11
N(E_F), states/eV/cell: 5.179
Crystal system: monoclinic
E, eV per cell: -30.38

Lattice parameters (Å, degrees): 6.1156 5.6180 3.2520 81.10 75.66 118.20
Closest atoms and distances in Å follow each position.
Fractional coordinates of all 4 atoms:
Ir 0.5000 0.5000 0.0000  4 Y 3.02, 2 Zr 3.09, 2 Ir 3.25
Zr 0.0000 0.5000 0.5000  4 Y 3.02, 2 Ir 3.09, 2 Zr 3.25
Y 0.5000 0.0000 0.5000  2 Zr 3.02, 2 Ir 3.02, 4 Y 3.09-3.25
Y 0.0000 0.0000 0.0000  2 Ir 3.02, 2 Zr 3.02, 4 Y 3.09-3.25

=====

[8]
A plane-wave DFT calculation with GGA-PBE was carried out for Dy2Ho3Er9 after structural relaxation.

## Properties
Space group: P-1 (2)
ΔE_f, meV per atom: 122
N(E_F), states/eV/cell: 21.370
Crystal system: triclinic
E, eV per cell: -62.30

Lattice parameters (Å, degrees): 6.1412 13.3281 10.3241 40.46 56.30 55.10
Closest atoms and distances in Å follow each position.
Fractional coordinates of all 14 atoms:
Er 0.8069 0.8971 0.4864  3 Er 3.16-3.36, 2 Ho 3.36-3.42, 1 Dy 3.47
Er 0.1931 0.1029 0.5136  3 Er 3.16-3.36, 2 Ho 3.36-3.42, 1 Dy 3.47
Er 0.9864 0.5062 0.1611  7 Er 3.36-3.49, 2 Dy 3.43-3.56, 2 Ho 3.48-3.52
Er 0.7383 0.9171 0.8353  3 Er 3.17-3.42, 1 Dy 3.35, 1 Ho 3.47
Er 0.5968 0.3046 0.0085  3 Ho 3.31-3.51, 6 Er 3.40-3.55, 1 Dy 3.62
Er 0.0000 0.5000 0.5000  4 Dy 3.43-3.56, 4 Er 3.48-3.55, 2 Ho 3.71
Er 0.4032 0.6954 0.9915  3 Ho 3.31-3.51, 6 Er 3.40-3.55, 1 Dy 3.62
Er 0.0136 0.4938 0.8389  7 Er 3.36-3.49, 2 Dy 3.43-3.56, 2 Ho 3.48-3.52
Er 0.2617 0.0829 0.1647  3 Er 3.17-3.42, 1 Dy 3.35, 1 Ho 3.47
Dy 0.4200 0.7010 0.3306  1 Dy 3.34, 8 Er 3.35-3.62, 2 Ho 3.39-3.43
Dy 0.5800 0.2990 0.6694  1 Dy 3.34, 8 Er 3.35-3.62, 2 Ho 3.39-3.43
Ho 0.3680 0.7267 0.6533  9 Er 3.31-3.59, 1 Dy 3.43
Ho 0.6320 0.2733 0.3467  9 Er 3.31-3.59, 1 Dy 3.43
Ho 0.0000 0.0000 0.0000  6 Er 3.38-3.64, 2 Dy 3.39

=====

Please write out number 2 again, unchanged.
A plane-wave DFT calculation with GGA-PBE was carried out for HfGe2S6 after structural relaxation.

## Properties
Space group: C2/c (15)
Energy relative to the elements, uncorrected, kJ/mol of formula units: -546
Crystal system: monoclinic
E, eV per cell: -99.23

Lattice parameters (Å, degrees): 6.4474 8.1956 8.1956 85.00 81.67 81.67
Closest atoms and distances in Å follow each position.
Fractional coordinates of all 18 atoms:
Ge 0.8245 0.3798 0.2281  4 S 2.23-2.29
Ge 0.6755 0.7719 0.6202  4 S 2.23-2.29
Ge 0.3245 0.2281 0.3798  4 S 2.23-2.29
Ge 0.1755 0.6202 0.7719  4 S 2.23-2.29
S 0.6456 0.6059 0.1183  1 Ge 2.23, 1 Hf 2.44
S 0.1227 0.4563 0.2904  2 Ge 2.24-2.25
S 0.1183 0.8204 0.9581  1 Ge 2.29, 1 Hf 2.55
S 0.1456 0.1183 0.6059  1 Ge 2.23, 1 Hf 2.44
S 0.8817 0.1796 0.0419  1 Ge 2.29, 1 Hf 2.55
S 0.3773 0.7096 0.5437  2 Ge 2.24-2.25
S 0.6183 0.9581 0.8204  1 Ge 2.29, 1 Hf 2.55
S 0.3817 0.0419 0.1796  1 Ge 2.29, 1 Hf 2.55
S 0.3544 0.3941 0.8817  1 Ge 2.23, 1 Hf 2.44
S 0.6227 0.2904 0.4563  2 Ge 2.24-2.25
S 0.8544 0.8817 0.3941  1 Ge 2.23, 1 Hf 2.44
S 0.8773 0.5437 0.7096  2 Ge 2.24-2.25
Hf 0.2500 0.1203 0.8797  6 S 2.44-2.71
Hf 0.7500 0.8797 0.1203  6 S 2.44-2.71

=====

What did the third record say?
A plane-wave DFT calculation with GGA-PBE was carried out for PmTm2Ga after structural relaxation.

## Properties
Space group: R-3m (166)
ΔE_f, meV per atom: -19
N(E_F), states/eV/cell: 4.467
Crystal system: trigonal
E, eV per cell: -16.80

Lattice parameters (Å, degrees): 4.9897 4.9897 5.9251 65.10 65.10 60.00
Closest atoms and distances in Å follow each position.
Fractional coordinates of all 4 atoms:
Tm 0.2743 0.2743 0.1770  3 Ga 3.02, 3 Pm 3.33
Tm 0.7257 0.7257 0.8230  3 Ga 3.02, 3 Pm 3.33
Pm 0.5000 0.5000 0.5000  8 Tm 3.33-3.51
Ga 0.0000 0.0000 0.0000  6 Tm 3.02

=====

The lowest E belongs to which entry? HfGe2S6

=====

Which value of E does entry 4 give? -22.49 eV per cell